No. 1
Density functional theory data (PBE) for a relaxed Dy7Pd2Au2 crystal.

Properties
E (eV per atom): -4.909
Space-group type: Cmmm
Energy of formation from the pure elements (eV/f.u.): -4.84

Cell lengths 6.6881, 7.1330, 6.6881 Å; angles 90.00, 108.11, 90.00 degrees
Last column: nearest neighbours and their distance in Å.
Atoms (fractional coordinates):
1 Dy 0.9998 0.2639 0.5003  2 Pd 2.75
2 Dy 0.5003 0.7361 0.9998  2 Pd 2.75
3 Dy 0.0002 0.7361 0.4997  2 Pd 2.75
4 Dy 0.4997 0.2639 0.0002  2 Pd 2.75
5 Dy 0.0000 0.0000 0.0000  2 Pd 3.12
6 Dy 0.5002 0.7417 0.4998  2 Pd 2.94-2.95, 2 Au 2.97
7 Dy 0.4998 0.2583 0.5002  2 Pd 2.94-2.95, 2 Au 2.97
8 Pd 0.7120 0.0000 0.2880  6 Dy 2.75-2.95
9 Pd 0.2880 0.0000 0.7120  6 Dy 2.75-2.95
10 Au 0.8076 0.5000 0.8076  6 Dy 2.97-3.22, 1 Au 3.02
11 Au 0.1924 0.5000 0.1924  6 Dy 2.97-3.22, 1 Au 3.02



No. 2
Density functional theory data (PBE) for a relaxed LaV2FeAs crystal.

Properties
E (eV per atom): -5.045
Space-group type: P4/mmm
Energy of formation from the pure elements (eV/f.u.): 11.05

Cell lengths 4.5361, 5.4039, 4.5361 Å; angles 90.00, 90.00, 90.00 degrees
Last column: nearest neighbours and their distance in Å.
Atoms (fractional coordinates):
1 As 0.0000 0.5000 0.0000  2 La 2.70
2 V 0.0000 0.0000 0.5000  2 La 2.27
3 V 0.5000 0.0000 0.0000  2 La 2.27
4 Fe 0.5000 0.5000 0.5000  4 As 3.21, 8 V 3.53
5 La 0.0000 0.0000 0.0000  4 V 2.27



No. 3
Density functional theory data (PBE) for a relaxed AlCr crystal.

Properties
E (eV per atom): -6.775
Space-group type: Cm
Energy of formation from the pure elements (eV/f.u.): -0.18

Cell lengths 4.8456, 4.8456, 6.1003 Å; angles 71.55, 71.55, 36.37 degrees
Last column: nearest neighbours and their distance in Å.
Atoms (fractional coordinates):
1 Al 0.9669 0.9669 0.0586  4 Cr 2.56-2.60, 5 Al 2.67-2.76
2 Al 0.6393 0.6393 0.7074  8 Cr 2.55-2.85, 2 Al 2.67
3 Al 0.6497 0.6497 0.2308  7 Cr 2.61-2.88, 4 Al 2.72-2.88
4 Cr 0.3183 0.3183 0.3979  2 Cr 2.37, 6 Al 2.55-2.61
5 Cr 0.9485 0.9485 0.5667  4 Cr 2.37-2.41
6 Cr 0.3106 0.3106 0.8720  2 Cr 2.41, 6 Al 2.60-2.67



No. 4
Density functional theory data (PBE) for a relaxed CaMg2Au crystal.

Properties
E (eV per atom): -2.327
Space-group type: R3m
Energy of formation from the pure elements (eV/f.u.): -0.84

Cell lengths 8.8930, 8.8930, 8.8930 Å; angles 24.78, 24.78, 24.78 degrees
Last column: nearest neighbours and their distance in Å.
Atoms (fractional coordinates):
1 Au 0.5081 0.5081 0.5081  3 Mg 2.72, 3 Ca 2.98
2 Ca 0.7638 0.7638 0.7638  3 Au 2.98
3 Mg 0.9914 0.9914 0.9914  3 Mg 3.17, 3 Ca 3.51
4 Mg 0.2367 0.2367 0.2367  3 Au 2.72



What is the energy of formation from the pure elements in the second record? 11.05 eV/f.u.



Repeat the second record exactly.
Density functional theory data (PBE) for a relaxed LaV2FeAs crystal.

Properties
E (eV per atom): -5.045
Space-group type: P4/mmm
Energy of formation from the pure elements (eV/f.u.): 11.05

Cell lengths 4.5361, 5.4039, 4.5361 Å; angles 90.00, 90.00, 90.00 degrees
Last column: nearest neighbours and their distance in Å.
Atoms (fractional coordinates):
1 As 0.0000 0.5000 0.0000  2 La 2.70
2 V 0.0000 0.0000 0.5000  2 La 2.27
3 V 0.5000 0.0000 0.0000  2 La 2.27
4 Fe 0.5000 0.5000 0.5000  4 As 3.21, 8 V 3.53
5 La 0.0000 0.0000 0.0000  4 V 2.27



Among the records above, which one has the lowest energy of formation from the pure elements? Dy7Pd2Au2



energy of formation from the pure elements of number 4 (CaMg2Au)? -0.84 eV/f.u.